(1)
Computed, not measured: crystalline CdFeRe3 at its relaxed geometry at the PBE level of DFT.

Energy relative to the elements = 7.61 eV per formula unit

a b c (Å): 4.457 4.457 4.457
angles (deg): 90.00 90.00 90.00
Fractional positions:
1 Cd 0.500 0.500 0.500
2 Re 0.000 0.000 0.500
3 Re 0.000 0.500 0.000
4 Re 0.500 0.000 0.000
5 Fe 0.000 0.000 0.000

(2)
Computed, not measured: crystalline SmAl2GaPd at its relaxed geometry at the PBE level of DFT.

Energy relative to the elements = -3.41 eV per formula unit

a b c (Å): 4.209 4.094 6.286
angles (deg): 109.01 109.56 90.00
Fractional positions:
1 Sm 0.439 0.439 0.878
2 Ga 0.832 0.832 0.664
3 Al 0.694 0.194 0.387
4 Al 0.057 0.057 0.113
5 Pd 0.191 0.691 0.381

(3)
Computed, not measured: crystalline ThSc2Sn at its relaxed geometry at the PBE level of DFT.

Energy relative to the elements = -1.25 eV per formula unit

a b c (Å): 3.687 3.687 7.399
angles (deg): 90.00 90.00 90.00
Fractional positions:
1 Sc 0.000 0.000 0.721
2 Sc 0.000 0.000 0.279
3 Sn 0.500 0.500 0.500
4 Th 0.500 0.500 0.000

(4)
Computed, not measured: crystalline RbGeN at its relaxed geometry at the PBE level of DFT.

Energy relative to the elements, uncorrected = 17.3 kJ per mole of atoms

a b c (Å): 4.141 4.141 12.967
angles (deg): 89.92 108.61 90.29
Fractional positions:
1 Rb 0.208 0.423 0.631
2 Rb 0.473 0.658 0.131
3 N 0.632 0.926 0.558
4 N 0.904 0.154 0.058
5 Ge 0.507 0.914 0.421
6 Ge 0.756 0.166 0.921

(5)
Computed, not measured: crystalline Ce3Nd2ErP6 at its relaxed geometry at the PBE level of DFT.

Energy relative to the elements = -18.36 eV per formula unit

a b c (Å): 7.095 7.095 7.086
angles (deg): 99.61 99.61 120.01
Each line ends with the local moment (μB).
Fractional positions:
1 Ce 0.500 0.500 0.500  0.44
2 Ce 0.168 0.832 0.500  0.44
3 Ce 0.832 0.168 0.500  0.44
4 P 0.241 0.241 0.746  -0.01
5 P 0.589 0.916 0.747  -0.01
6 P 0.084 0.411 0.253  -0.01
7 P 0.916 0.589 0.747  -0.01
8 P 0.759 0.759 0.254  -0.01
9 P 0.411 0.084 0.253  -0.01
10 Er 0.000 0.000 0.000  0.00
11 Nd 0.334 0.666 0.000  0.01
12 Nd 0.666 0.334 0.000  0.01

(6)
Computed, not measured: crystalline Tb5PmNd3 at its relaxed geometry at the PBE level of DFT.

Energy relative to the elements = 4.48 eV per formula unit

a b c (Å): 9.607 9.607 11.789
angles (deg): 52.27 52.27 73.29
Fractional positions:
1 Tb 0.347 0.847 0.251
2 Tb 0.153 0.653 0.749
3 Tb 0.256 0.744 0.000
4 Tb 0.503 0.503 0.777
5 Tb 0.744 0.256 0.000
6 Tb 0.181 0.181 0.044
7 Tb 0.847 0.347 0.251
8 Tb 0.497 0.497 0.223
9 Tb 0.653 0.153 0.749
10 Tb 0.819 0.819 0.956
11 Pm 0.840 0.840 0.407
12 Pm 0.160 0.160 0.593
13 Nd 0.695 0.695 0.812
14 Nd 0.662 0.662 0.359
15 Nd 0.000 0.000 0.000
16 Nd 0.338 0.338 0.641
17 Nd 0.305 0.305 0.188
18 Nd 0.000 0.000 0.500

(7)
Computed, not measured: crystalline HgP2OF at its relaxed geometry at the PBE level of DFT.

Energy relative to the elements, uncorrected = 102.9 kJ per mole of atoms

a b c (Å): 5.030 5.030 4.134
angles (deg): 90.00 90.00 90.00
Fractional positions:
1 O 0.000 0.000 0.500
2 P 0.500 0.000 0.000
3 P 0.000 0.500 0.000
4 Hg 0.000 0.000 0.000
5 F 0.500 0.500 0.500

(8)
Computed, not measured: crystalline TlIn4Au at its relaxed geometry at the PBE level of DFT.

Energy relative to the elements = 1.02 eV per formula unit

a b c (Å): 6.163 6.163 6.163
angles (deg): 60.00 60.00 60.00
Fractional positions:
1 Tl 0.750 0.750 0.750
2 In 0.876 0.375 0.375
3 In 0.375 0.375 0.375
4 In 0.375 0.375 0.876
5 In 0.375 0.876 0.375
6 Au 0.000 0.000 0.000

(9)
Computed, not measured: crystalline CdSi2Ge2 at its relaxed geometry at the PBE level of DFT.

Energy relative to the elements, uncorrected = 41.7 kJ per mole of atoms

a b c (Å): 7.887 7.887 3.040
angles (deg): 90.00 90.00 90.00
Fractional positions:
1 Ge 0.354 0.854 0.000
2 Ge 0.646 0.146 0.000
3 Ge 0.146 0.354 0.000
4 Ge 0.854 0.646 0.000
5 Si 0.850 0.350 0.500
6 Si 0.150 0.650 0.500
7 Si 0.650 0.850 0.500
8 Si 0.350 0.150 0.500
9 Cd 0.500 0.500 0.000
10 Cd 0.000 0.000 0.000

| no. | uncorrected energy (eV per atom) |
| --- | --- |
| 1 | -7.82 |
| 2 | -4.77 |
| 3 | -6.34 |
| 4 | -4.46 |
| 5 | -6.89 |
| 6 | -4.19 |
| 7 | -2.52 |
| 8 | -2.60 |
| 9 | -3.77 |